{"formula": "USbPd", "functional": "PBE", "state": "optimized geometry", "lattice_angstrom": [[-6.134, -2.082, 3.900], [4.676, -5.252, -2.779], [2.182, 0.099, 3.485]], "species": ["Pd", "Pd", "Pd", "Sb", "Sb", "Sb", "U", "U", "U"], "frac_coords": [[0.333, 0.667, 0.000], [0.667, 0.333, 0.000], [0.000, 0.000, 0.500], [0.725, 0.725, 0.000], [0.275, 0.000, 0.000], [0.000, 0.275, 0.000], [0.384, 0.384, 0.500], [0.616, 0.000, 0.500], [0.000, 0.616, 0.500]], "e_tot_ev_per_cell": -64.702, "sg": "No. 189"}



{"formula": "GdDyIn2", "functional": "PBE", "state": "optimized geometry", "lattice_angstrom": [[-0.202, 3.753, 2.138], [1.944, -2.833, 5.158], [5.441, -1.241, 2.694]], "species": ["Gd", "In", "In", "Dy"], "frac_coords": [[0.500, 0.361, 0.361], [0.500, 0.086, 0.086], [0.000, 0.915, 0.915], [0.000, 0.639, 0.639]], "de_polymorph_mev_per_atom": 46, "sg": "No. 38"}



{"formula": "Cu3AsSeS3", "functional": "PBE", "state": "optimized geometry", "lattice_angstrom": [[3.694, 2.100, 3.292], [-3.887, 1.952, 3.158], [0.134, -6.543, -0.368]], "species": ["Se", "Cu", "Cu", "Cu", "S", "S", "S", "As"], "frac_coords": [[0.620, 0.620, 0.743], [0.757, 0.232, 0.489], [0.232, 0.757, 0.489], [0.495, 0.495, 0.011], [0.878, 0.379, 0.257], [0.379, 0.878, 0.257], [0.127, 0.127, 0.748], [0.012, 0.012, 0.006]], "e_tot_ev_per_cell": -33.182, "sg": "No. 8"}



{"formula": "Cu2Pb5", "functional": "PBE", "state": "optimized geometry", "lattice_angstrom": [[-1.003, -5.574, -7.311], [-0.531, -8.571, -3.432], [-4.884, -6.491, -4.421]], "species": ["Pb", "Pb", "Pb", "Pb", "Pb", "Cu", "Cu"], "frac_coords": [[0.342, 0.342, 0.342], [0.475, 0.475, 0.475], [0.611, 0.611, 0.611], [0.071, 0.071, 0.071], [0.876, 0.876, 0.876], [0.235, 0.235, 0.235], [0.765, 0.765, 0.765]], "e_tot_ev_per_cell": -24.392, "sg": "No. 160"}



{"formula": "HfUGe", "functional": "PBE", "state": "optimized geometry", "lattice_angstrom": [[0.000, 3.383, 3.383], [3.383, 0.000, 3.383], [3.383, 3.383, 0.000]], "species": ["Hf", "U", "Ge"], "frac_coords": [[0.750, 0.750, 0.750], [0.000, 0.000, 0.000], [0.250, 0.250, 0.250]], "e_tot_ev_per_cell": -23.024, "sg": "No. 216"}



{"formula": "PuSb", "functional": "PBE", "state": "optimized geometry", "lattice_angstrom": [[-3.597, -0.162, 1.448], [1.033, -2.363, -2.900], [1.352, -3.105, 3.012]], "species": ["Sb", "Pu"], "frac_coords": [[0.333, 0.667, 0.250], [0.667, 0.333, 0.750]], "e_tot_ev_per_cell": -19.212, "sg": "No. 187"}



{"formula": "LiPdWAu", "functional": "PBE", "state": "optimized geometry", "lattice_angstrom": [[3.637, -2.218, 1.118], [0.723, -1.064, 4.212], [-0.292, -4.201, 1.292]], "species": ["Au", "W", "Li", "Pd"], "frac_coords": [[0.250, 0.250, 0.250], [0.000, 0.000, 0.000], [0.750, 0.750, 0.750], [0.500, 0.500, 0.500]], "de_polymorph_mev_per_atom": 146, "sg": "No. 216"}



{"formula": "ZnCu2GeTe2S2", "functional": "PBE", "state": "optimized geometry", "lattice_angstrom": [[6.311, -2.854, 0.000], [6.311, 2.854, 0.000], [-2.508, 0.000, 5.143]], "species": ["Cu", "Cu", "Ge", "Zn", "S", "S", "Te", "Te"], "frac_coords": [[0.748, 0.753, 0.198], [0.247, 0.252, 0.802], [0.034, 0.966, 0.000], [0.464, 0.536, 0.500], [0.375, 0.877, 0.880], [0.123, 0.625, 0.120], [0.619, 0.108, 0.618], [0.892, 0.381, 0.382]], "de_polymorph_mev_per_atom": 0, "sg": "No. 5"}



{"formula": "SrPrU", "functional": "PBE", "state": "optimized geometry", "lattice_angstrom": [[1.972, -4.130, 3.210], [-0.821, 0.122, 5.528], [-3.533, -3.619, 2.382]], "species": ["Pr", "U", "Sr"], "frac_coords": [[0.000, 0.000, 0.000], [0.750, 0.750, 0.750], [0.250, 0.250, 0.250]], "de_polymorph_mev_per_atom": 0, "sg": "No. 216"}



{"formula": "NaZrAg3Te4", "functional": "PBE", "state": "optimized geometry", "lattice_angstrom": [[-3.102, 3.925, -4.283], [-6.077, -6.332, -1.402], [-4.707, 2.720, 8.115]], "species": ["Na", "Na", "Ag", "Ag", "Ag", "Ag", "Ag", "Ag", "Te", "Te", "Te", "Te", "Te", "Te", "Te", "Te", "Zr", "Zr"], "frac_coords": [[0.168, 0.250, 0.052], [0.832, 0.750, 0.948], [0.700, 0.750, 0.277], [0.222, 0.008, 0.507], [0.300, 0.250, 0.723], [0.778, 0.508, 0.493], [0.222, 0.492, 0.507], [0.778, 0.992, 0.493], [0.393, 0.750, 0.044], [0.038, 0.506, 0.754], [0.962, 0.494, 0.246], [0.962, 0.006, 0.246], [0.607, 0.250, 0.956], [0.487, 0.750, 0.526], [0.513, 0.250, 0.474], [0.038, 0.994, 0.754], [0.212, 0.750, 0.274], [0.788, 0.250, 0.726]], "de_polymorph_mev_per_atom": 61, "sg": "No. 11"}



{"formula": "HfSi2Ir", "functional": "PBE", "state": "optimized geometry", "lattice_angstrom": [[0.000, 3.179, 3.179], [3.179, 0.000, 3.179], [3.179, 3.179, 0.000]], "species": ["Hf", "Si", "Si", "Ir"], "frac_coords": [[0.750, 0.750, 0.750], [0.250, 0.250, 0.250], [0.000, 0.000, 0.000], [0.500, 0.500, 0.500]], "e_tot_ev_per_cell": -30.518, "sg": "No. 216"}



{"formula": "LaPuTl", "functional": "PBE", "state": "optimized geometry", "lattice_angstrom": [[1.216, 2.316, 4.499], [-1.493, 4.905, 0.888], [-3.718, 0.994, 3.503]], "species": ["La", "Pu", "Tl"], "frac_coords": [[0.000, 0.000, 0.000], [0.250, 0.250, 0.250], [0.750, 0.750, 0.750]], "de_polymorph_mev_per_atom": 165, "sg": "No. 216"}



{"formula": "KDySO", "functional": "PBE", "state": "optimized geometry", "lattice_angstrom": [[7.818, 0.000, 0.000], [0.000, 9.204, 0.000], [0.000, 0.000, 5.534]], "species": ["S", "S", "S", "S", "O", "O", "O", "O", "K", "K", "K", "K", "Dy", "Dy", "Dy", "Dy"], "frac_coords": [[0.406, 0.618, 0.564], [0.094, 0.618, 0.064], [0.594, 0.382, 0.064], [0.906, 0.382, 0.564], [0.051, 0.158, 0.063], [0.449, 0.158, 0.563], [0.551, 0.842, 0.063], [0.949, 0.842, 0.563], [0.385, 0.092, 0.060], [0.885, 0.908, 0.060], [0.615, 0.908, 0.560], [0.115, 0.092, 0.560], [0.560, 0.351, 0.563], [0.940, 0.351, 0.063], [0.060, 0.649, 0.563], [0.440, 0.649, 0.063]], "de_polymorph_mev_per_atom": 236, "sg": "No. 29"}